No. 1
## In2Pt2Se (PBE)

Data for an optimized crystal structure of In2Pt2Se.

Values from the calculation:
ΔE_f (raw), kJ/mol of atoms: -5.5
Relative energy among the computed polymorphs, eV per atom: 0.207

Unit cell a=4.2470 b=4.2470 c=6.6886 alpha=71.49 beta=71.49 gamma=90.00
Atoms (fractional coordinates):
1 Se 0.0000 0.0000 0.0000
2 Pt 0.3896 0.3896 0.2208
3 Pt 0.6104 0.6104 0.7792
4 In 0.7500 0.2500 0.5000
5 In 0.2500 0.7500 0.5000



No. 2
## KBaFe2Br8 (PBE)

Data for an optimized crystal structure of KBaFe2Br8.

Values from the calculation:
ΔE_f (raw), kJ/mol of atoms: -105.0

Unit cell a=7.0384 b=7.0384 c=10.8236 alpha=90.00 beta=90.00 gamma=120.00
Atoms (fractional coordinates):
1 K 0.0000 0.0000 0.0000
2 Ba 0.0000 0.0000 0.5000
3 Fe 0.6667 0.3333 0.2297
4 Fe 0.3333 0.6667 0.7703
5 Br 0.3333 0.6667 0.9875
6 Br 0.3467 0.3431 0.3002
7 Br 0.6569 0.0036 0.3002
8 Br 0.6667 0.3333 0.0125
9 Br 0.3431 0.9964 0.6998
10 Br 0.6533 0.6569 0.6998
11 Br 0.0036 0.3467 0.6998
12 Br 0.9964 0.6533 0.3002



No. 3
## Li7Mg3Hg2 (PBE)

Data for an optimized crystal structure of Li7Mg3Hg2.

Values from the calculation:
ΔE_f, eV per atom: -0.1233
Relative energy among the computed polymorphs, eV per atom: 0.000

Unit cell a=3.2915 b=4.7267 c=15.7048 alpha=99.06 beta=90.00 gamma=90.00
Atoms (fractional coordinates):
1 Li 0.5000 0.7303 0.4613
2 Li 0.5000 0.2697 0.5387
3 Li 0.0000 0.5768 0.1516
4 Li 0.0000 0.0000 0.0000
5 Li 0.0000 0.4232 0.8484
6 Li 0.5000 0.9111 0.8236
7 Li 0.5000 0.0889 0.1764
8 Mg 0.5000 0.5000 0.0000
9 Mg 0.0000 0.1801 0.3565
10 Mg 0.0000 0.8199 0.6435
11 Hg 0.5000 0.6455 0.2883
12 Hg 0.5000 0.3545 0.7117



No. 4
## NpZnPdPb (PBE)

Data for an optimized crystal structure of NpZnPdPb.

Values from the calculation:
ΔE_f, eV per atom: -0.0406

Unit cell a=4.9313 b=4.9313 c=4.9313 alpha=60.00 beta=60.00 gamma=60.00
Atoms (fractional coordinates):
1 Np 0.5000 0.5000 0.5000
2 Pb 0.0000 0.0000 0.0000
3 Zn 0.7500 0.7500 0.7500
4 Pd 0.2500 0.2500 0.2500



no.,calculated volume (Å³ per cell),density of states at the Fermi level (states/eV/atom)
1,107.8,0.42
2,464.4,0.76
3,241.3,0.39
4,84.8,1.54